Record 1
# NdGa3I6, optimized geometry, DFT PBE
data_NdGa3I6
_chemical_formula_sum 'Nd2 Ga6 I12'
_cell_length_a 7.942
_cell_length_b 8.749
_cell_length_c 14.269
_cell_angle_alpha 90.00
_cell_angle_beta 123.00
_cell_angle_gamma 90.00
_space_group_name_H-M_alt 'P 1 21/c 1'
_space_group_IT_number 14
loop_
_space_group_symop_operation_xyz
'x,y,z'
'-x,-y,-z'
'-x,y+1/2,-z+1/2'
'x,-y+1/2,z+1/2'
loop_
_atom_site_label
_atom_site_type_symbol
_atom_site_fract_x
_atom_site_fract_y
_atom_site_fract_z
Nd1 Nd 0.000 0.000 0.000
Ga1 Ga 0.333 0.145 0.757
Ga2 Ga 0.500 0.000 0.500
I1 I 0.096 0.052 0.242
I2 I 0.244 0.693 0.076
I3 I 0.392 0.180 0.074
# energy	-3.062	eV/atom
# uncorrected formation energy	-0.75	eV/atom
# D(E_F)	0.00	states/eV/f.u.

---

Record 2
# Ba2LiMgH, optimized geometry, DFT PBE
data_Ba2LiMgH
_chemical_formula_sum 'Ba2 Li1 Mg1 H1'
_cell_length_a 5.776
_cell_length_b 5.776
_cell_length_c 4.701
_cell_angle_alpha 90.00
_cell_angle_beta 90.00
_cell_angle_gamma 90.00
_space_group_name_H-M_alt 'P 4/m m m'
_space_group_IT_number 123
_space_group_name_Hall '-P 4 2'
loop_
_atom_site_label
_atom_site_type_symbol
_atom_site_fract_x
_atom_site_fract_y
_atom_site_fract_z
Ba1 Ba 0.000 0.500 0.000
Li1 Li 0.000 0.000 0.500
Mg1 Mg 0.500 0.500 0.500
H1 H 0.500 0.500 0.000
# energy	-2.242	eV/atom
# relative energy among the computed polymorphs	45	meV/atom
# D(E_F)	4.30	states/eV/f.u.

---

Record 3
# Zn2GePt2, optimized geometry, DFT PBE
data_Zn2GePt2
_chemical_formula_sum 'Zn4 Ge2 Pt4'
_cell_length_a 7.517
_cell_length_b 7.517
_cell_length_c 2.847
_cell_angle_alpha 90.00
_cell_angle_beta 90.00
_cell_angle_gamma 90.00
_space_group_name_H-M_alt 'P 4/m b m'
_space_group_IT_number 127
_space_group_name_Hall '-P 4 2ab'
loop_
_atom_site_label
_atom_site_type_symbol
_atom_site_fract_x
_atom_site_fract_y
_atom_site_fract_z
Zn1 Zn 0.130 0.370 0.000
Ge1 Ge 0.000 0.000 0.500
Pt1 Pt 0.167 0.667 0.500
# DFT formation energy	-356	meV/atom
# energy	-4.205	eV/atom
# relative energy among the computed polymorphs	41	meV/atom
# D(E_F)	1.90	states/eV/f.u.

---

Record 4
# Pr3SBr3, optimized geometry, DFT PBE
data_Pr3SBr3
_chemical_formula_sum 'Pr18 S6 Br18'
_cell_length_a 7.1521
_cell_length_b 7.1521
_cell_length_c 32.3541
_cell_angle_alpha 90.00
_cell_angle_beta 90.00
_cell_angle_gamma 120.00
_space_group_name_H-M_alt 'R -3'
_space_group_IT_number 148
_space_group_name_Hall '-R 3'
loop_
_atom_site_label
_atom_site_type_symbol
_atom_site_fract_x
_atom_site_fract_y
_atom_site_fract_z
Pr1 Pr 0.0000 0.3428 0.4517
S1 S 0.0000 0.0000 0.1667
Br1 Br 0.0000 0.3281 0.6068
# energy	-5.047	eV/atom
# uncorrected formation energy	-1.69	eV/atom
# D(E_F)	2.11	states/eV/f.u.

---

Record 5
# Ba6GaPd2, optimized geometry, DFT PBE
data_Ba6GaPd2
_chemical_formula_sum 'Ba24 Ga4 Pd8'
_cell_length_a 5.714
_cell_length_b 15.257
_cell_length_c 17.168
_cell_angle_alpha 90.00
_cell_angle_beta 90.00
_cell_angle_gamma 90.00
_space_group_name_H-M_alt 'F m m m'
_space_group_IT_number 69
_space_group_name_Hall '-F 2 2'
loop_
_atom_site_label
_atom_site_type_symbol
_atom_site_fract_x
_atom_site_fract_y
_atom_site_fract_z
Ba1 Ba 0.000 0.121 0.171
Ba2 Ba 0.000 0.125 0.500
Ga1 Ga 0.000 0.000 0.000
Pd1 Pd 0.000 0.000 0.341
# DFT formation energy	-309	meV/atom
# energy	-3.081	eV/atom
# D(E_F)	7.43	states/eV/f.u.

---

Record 6
# Er4Ga2Cu, optimized geometry, DFT PBE
data_Er4Ga2Cu
_chemical_formula_sum 'Er8 Ga4 Cu2'
_cell_length_a 16.489
_cell_length_b 3.693
_cell_length_c 6.032
_cell_angle_alpha 90.00
_cell_angle_beta 109.30
_cell_angle_gamma 90.00
_space_group_name_H-M_alt 'C 1 2/m 1'
_space_group_IT_number 12
loop_
_space_group_symop_operation_xyz
'x,y,z'
'-x,-y,-z'
'-x,y,-z'
'x,-y,z'
'x+1/2,y+1/2,z'
'-x+1/2,-y+1/2,-z'
'-x+1/2,y+1/2,-z'
'x+1/2,-y+1/2,z'
loop_
_atom_site_label
_atom_site_type_symbol
_atom_site_fract_x
_atom_site_fract_y
_atom_site_fract_z
Er1 Er 0.094 0.000 0.456
Er2 Er 0.139 0.500 0.996
Ga1 Ga 0.239 0.500 0.655
Cu1 Cu 0.000 0.000 0.000
# DFT formation energy	-253	meV/atom
# energy	-4.310	eV/atom
# D(E_F)	7.71	states/eV/f.u.